(P)
Below is LiGa3H after structural relaxation, with properties calculated at the PBE level.

Values from the calculation:
size of the total moment	0.0	μB per cell
theoretical density	3727	kg/m³

Unit cell a=4.5904 b=4.5904 c=4.5904 alpha=90.00 beta=90.00 gamma=90.00
Fractional coordinates of all 5 atoms:
Li  0.0000  0.0000  0.0000
Ga  0.0000  0.0000  0.5000
Ga  0.0000  0.5000  0.0000
Ga  0.5000  0.0000  0.0000
H  0.5000  0.5000  0.5000

(Q)
Below is LiGa3H after structural relaxation, with properties calculated at the PBE level.

Values from the calculation:
size of the total moment	0.0	μB per cell
theoretical density	4741	kg/m³

Unit cell a=4.2366 b=4.2366 c=4.2366 alpha=90.00 beta=90.00 gamma=90.00
Fractional coordinates of all 5 atoms:
Li  0.0000  0.0000  0.0000
Ga  0.0000  0.5000  0.5000
Ga  0.5000  0.0000  0.5000
Ga  0.5000  0.5000  0.0000
H  0.5000  0.5000  0.5000

Short version: (P) is the least stable of them.

(P)
Below is Li2GaH4 after structural relaxation, with properties calculated at the PBE level.

Values from the calculation:
size of the total moment	0.0	μB per cell
theoretical density	2199	kg/m³

Unit cell a=5.4594 b=5.4594 c=5.7235 alpha=105.57 beta=105.57 gamma=115.92
Fractional coordinates of all 14 atoms:
Li  0.0677  0.9323  0.7500
Li  0.3172  0.6828  0.2500
Li  0.6828  0.3172  0.7500
Li  0.9323  0.0677  0.2500
Ga  0.3770  0.6230  0.7500
Ga  0.6230  0.3770  0.2500
H  0.1401  0.6369  0.8862
H  0.2491  0.2542  0.1124
H  0.2542  0.2491  0.6124
H  0.3631  0.8599  0.6138
H  0.6369  0.1401  0.3862
H  0.7458  0.7509  0.3876
H  0.7509  0.7458  0.8876
H  0.8599  0.3631  0.1138

(Q)
Below is Li2GaH4 after structural relaxation, with properties calculated at the PBE level.

Values from the calculation:
size of the total moment	0.0	μB per cell
theoretical density	2182	kg/m³

Unit cell a=5.0071 b=5.0071 c=4.7863 alpha=109.95 beta=109.95 gamma=36.56
Fractional coordinates of all 7 atoms:
Li  0.1887  0.1887  0.1602
Li  0.8113  0.8113  0.8398
Ga  0.5000  0.5000  0.5000
H  0.1066  0.1066  0.4630
H  0.3689  0.3689  0.0689
H  0.6311  0.6311  0.9311
H  0.8934  0.8934  0.5370

Short version: (P) is the least stable of them.

(P)
Below is LiGaH3 after structural relaxation, with properties calculated at the PBE level.

Values from the calculation:
size of the total moment	0.0	μB per cell
theoretical density	3202	kg/m³

Unit cell a=3.4572 b=3.4572 c=3.4572 alpha=90.00 beta=90.00 gamma=90.00
Fractional coordinates of all 5 atoms:
Li  0.0000  0.0000  0.0000
Ga  0.5000  0.5000  0.5000
H  0.0000  0.0000  0.5000
H  0.0000  0.5000  0.0000
H  0.5000  0.0000  0.0000

(Q)
Below is LiGaH3 after structural relaxation, with properties calculated at the PBE level.

Values from the calculation:
size of the total moment	0.0	μB per cell
theoretical density	2304	kg/m³

Unit cell a=5.7026 b=4.6431 c=8.9601 alpha=90.00 beta=104.47 gamma=90.00
Fractional coordinates of all 20 atoms:
Li  0.1577  0.0725  0.1714
Li  0.1577  0.4275  0.6714
Li  0.8423  0.5725  0.3286
Li  0.8423  0.9275  0.8286
Ga  0.3317  0.6265  0.4151
Ga  0.3317  0.8735  0.9151
Ga  0.6683  0.1265  0.0849
Ga  0.6683  0.3735  0.5849
H  0.1276  0.7354  0.5019
H  0.1276  0.7646  0.0019
H  0.1509  0.0665  0.7809
H  0.1509  0.4335  0.2809
H  0.4054  0.6019  0.8264
H  0.4054  0.8981  0.3264
H  0.5946  0.1019  0.6736
H  0.5946  0.3981  0.1736
H  0.8491  0.5665  0.7191
H  0.8491  0.9335  0.2191
H  0.8724  0.2354  0.9981
H  0.8724  0.2646  0.4981

Short version: (P) is the least stable of them.

(P)
Below is LiGa2H after structural relaxation, with properties calculated at the PBE level.

Values from the calculation:
size of the total moment	0.0	μB per cell
theoretical density	4385	kg/m³

Unit cell a=4.2896 b=4.2896 c=4.2896 alpha=60.00 beta=60.00 gamma=60.00
Fractional coordinates of all 4 atoms:
Li  0.0000  0.0000  0.0000
Ga  0.2500  0.2500  0.2500
Ga  0.7500  0.7500  0.7500
H  0.5000  0.5000  0.5000

(Q)
Below is LiGa2H after structural relaxation, with properties calculated at the PBE level.

Values from the calculation:
size of the total moment	0.0	μB per cell
theoretical density	4366	kg/m³

Unit cell a=5.3775 b=5.3775 c=5.3775 alpha=101.91 beta=101.91 gamma=125.96
Fractional coordinates of all 8 atoms:
Li  0.0000  0.0000  0.0000
Li  0.7500  0.2500  0.5000
Ga  0.2108  0.6250  0.0858
Ga  0.3750  0.4608  0.5858
Ga  0.5392  0.1250  0.9142
Ga  0.8750  0.7892  0.4142
H  0.2500  0.7500  0.5000
H  0.5000  0.5000  0.0000

Short version: (P) is the least stable of them.